No. 1
MgMo | PBE-GGA | optimized geometry

Values from the calculation:
magnetic moment = 0.90 μB per formula unit
formation energy = 3.1 eV per formula unit
calculated volume = 41.47 Å³/atom
space-group type = No. 217
distance to the lowest polymorph of the same formula = 1349.6 meV/atom
crystal system = cubic

POSCAR file:
```
MgMo
1.0
-6.725 5.346 1.508
-4.289 -6.503 3.924
3.529 2.284 7.643
Mg Mo
8 8
Direct
0.792 0.792 0.208
0.292 0.292 0.708
0.708 0.292 0.292
0.792 0.208 0.792
0.708 0.708 0.708
0.208 0.792 0.792
0.292 0.708 0.292
0.208 0.208 0.208
0.901 0.099 0.099
0.901 0.901 0.901
0.599 0.599 0.401
0.401 0.599 0.599
0.099 0.901 0.099
0.401 0.401 0.401
0.099 0.099 0.901
0.599 0.401 0.599
```

No. 2
MgMo | PBE-GGA | optimized geometry

Values from the calculation:
magnetic moment = 0.00 μB per formula unit
formation energy = 0.7 eV per formula unit
calculated volume = 17.63 Å³/atom
space-group type = No. 129
distance to the lowest polymorph of the same formula = 159.3 meV/atom
crystal system = tetragonal

POSCAR file:
```
MgMo
1.0
2.728 0.000 0.000
0.000 2.728 0.000
0.000 0.000 9.477
Mg Mo
2 2
Direct
0.500 0.500 0.236
0.000 0.000 0.514
0.000 0.000 0.997
0.500 0.500 0.753
```

No. 3
MgMo | PBE-GGA | optimized geometry

Values from the calculation:
magnetic moment = 0.00 μB per formula unit
formation energy = 1.8 eV per formula unit
calculated volume = 19.45 Å³/atom
space-group type = No. 70
distance to the lowest polymorph of the same formula = 727.2 meV/atom
crystal system = orthorhombic

POSCAR file:
```
MgMo
1.0
10.271 0.000 0.000
0.000 7.821 0.000
0.000 0.000 7.747
Mg Mo
16 16
Direct
0.750 0.077 0.250
0.000 0.327 0.500
0.500 0.827 0.500
0.750 0.923 0.750
0.000 0.827 0.000
0.250 0.923 0.250
0.250 0.577 0.250
0.250 0.077 0.750
0.500 0.327 0.000
0.750 0.577 0.750
0.500 0.173 0.500
0.750 0.423 0.250
0.000 0.173 0.000
0.000 0.673 0.500
0.250 0.423 0.750
0.500 0.673 0.000
0.500 0.000 0.853
0.250 0.750 0.897
0.250 0.250 0.103
0.500 0.500 0.647
0.000 0.500 0.853
0.500 0.000 0.147
0.000 0.000 0.647
0.000 0.000 0.353
0.250 0.250 0.397
0.750 0.250 0.897
0.750 0.750 0.103
0.250 0.750 0.603
0.000 0.500 0.147
0.750 0.750 0.397
0.750 0.250 0.603
0.500 0.500 0.353
```

No. 4
MgMo | PBE-GGA | optimized geometry

Values from the calculation:
magnetic moment = 0.00 μB per formula unit
formation energy = 0.6 eV per formula unit
calculated volume = 17.30 Å³/atom
space-group type = No. 12
distance to the lowest polymorph of the same formula = 121.8 meV/atom
crystal system = monoclinic

POSCAR file:
```
MgMo
1.0
-3.457 -2.485 -2.391
-3.274 -3.621 0.081
3.179 9.722 4.235
Mo Mg
2 2
Direct
0.018 0.018 0.771
0.982 0.982 0.979
0.999 0.999 0.498
0.001 0.001 0.252
```

No. 5
MgMo3 | PBE-GGA | optimized geometry

Values from the calculation:
magnetic moment = 0.00 μB per formula unit
formation energy = 1.5 eV per formula unit
calculated volume = 16.63 Å³/atom
space-group type = No. 123
distance to the lowest polymorph of the same formula = 221.2 meV/atom
crystal system = tetragonal

POSCAR file:
```
MgMo3
1.0
2.660 0.000 0.000
0.000 2.660 0.000
0.000 0.000 9.400
Mg Mo
1 3
Direct
0.500 0.500 0.250
0.000 0.000 0.503
0.500 0.500 0.750
0.000 0.000 0.997
```

No. 6
MgMo3 | PBE-GGA | optimized geometry

Values from the calculation:
magnetic moment = 0.00 μB per formula unit
formation energy = 1.7 eV per formula unit
calculated volume = 16.46 Å³/atom
space-group type = No. 44
distance to the lowest polymorph of the same formula = 267.1 meV/atom
crystal system = orthorhombic

POSCAR file:
```
MgMo3
1.0
-1.535 0.112 -5.359
1.443 -4.439 -3.050
-2.888 2.489 4.069
Mo Mg
3 1
Direct
0.026 0.999 0.027
0.052 0.750 0.302
0.529 0.501 0.027
0.560 0.250 0.310
```

No. 7
MgMo3 | PBE-GGA | optimized geometry

Values from the calculation:
magnetic moment = 0.00 μB per formula unit
formation energy = 1.7 eV per formula unit
calculated volume = 16.68 Å³/atom
space-group type = No. 166
distance to the lowest polymorph of the same formula = 273.8 meV/atom
crystal system = trigonal

POSCAR file:
```
MgMo3
1.0
9.902 0.013 0.007
9.500 2.792 0.007
9.500 1.373 2.431
Mg Mo
1 3
Direct
0.750 0.750 0.750
0.998 0.998 0.998
0.250 0.250 0.250
0.502 0.502 0.502
```

No. 8
MgMo3 | PBE-GGA | optimized geometry

Values from the calculation:
magnetic moment = 0.00 μB per formula unit
formation energy = 13.7 eV per formula unit
calculated volume = 25.12 Å³/atom
space-group type = No. 221
distance to the lowest polymorph of the same formula = 3257.7 meV/atom
crystal system = cubic

POSCAR file:
```
MgMo3
1.0
4.649 0.000 0.000
0.000 4.649 0.000
0.000 0.000 4.649
Mo Mg
3 1
Direct
0.000 0.000 0.500
0.000 0.500 0.000
0.500 0.000 0.000
0.000 0.000 0.000
```

No. 9
MgMo | PBE-GGA | optimized geometry

Values from the calculation:
magnetic moment = 0.36 μB per formula unit
formation energy = 2.2 eV per formula unit
calculated volume = 19.60 Å³/atom
space-group type = No. 136
distance to the lowest polymorph of the same formula = 896.4 meV/atom
crystal system = tetragonal

POSCAR file:
```
MgMo
1.0
5.360 0.000 0.000
0.000 5.360 0.000
0.000 0.000 5.459
Mg Mo
4 4
Direct
0.824 0.176 0.000
0.324 0.324 0.500
0.676 0.676 0.500
0.176 0.824 0.000
0.155 0.845 0.500
0.845 0.155 0.500
0.345 0.345 0.000
0.655 0.655 0.000
```

No. 10
Mg4Mo3 | PBE-GGA | optimized geometry

Values from the calculation:
magnetic moment = 0.00 μB per formula unit
formation energy = 2.0 eV per formula unit
calculated volume = 18.72 Å³/atom
space-group type = No. 139
crystal system = tetragonal

POSCAR file:
```
Mg4Mo3
1.0
12.059 -5.535 -1.497
11.305 -6.539 2.783
-12.639 4.119 -1.262
Mg Mo
4 3
Direct
0.845 0.845 0.000
0.572 0.572 0.000
0.428 0.428 0.000
0.155 0.155 0.000
0.726 0.726 0.000
0.000 0.000 0.000
0.274 0.274 0.000
```

No. 11
Mg5Mo | PBE-GGA | optimized geometry

Values from the calculation:
magnetic moment = 0.00 μB per formula unit
formation energy = 1.2 eV per formula unit
calculated volume = 20.17 Å³/atom
space-group type = No. 8
distance to the lowest polymorph of the same formula = 19.2 meV/atom
crystal system = monoclinic

POSCAR file:
```
Mg5Mo
1.0
1.486 5.645 0.009
-1.486 5.645 0.009
0.000 1.893 7.219
Mg Mo
5 1
Direct
0.280 0.280 0.955
0.341 0.341 0.317
0.664 0.664 0.678
0.945 0.945 0.630
0.602 0.602 0.263
0.003 0.003 0.991
```

No. 12
MgMo3 | PBE-GGA | optimized geometry

Values from the calculation:
magnetic moment = 0.00 μB per formula unit
formation energy = 1.5 eV per formula unit
calculated volume = 16.14 Å³/atom
space-group type = No. 225
distance to the lowest polymorph of the same formula = 211.7 meV/atom
crystal system = cubic

POSCAR file:
```
MgMo3
1.0
-0.367 2.177 -3.925
2.823 -0.954 -3.376
-1.504 -2.172 -3.647
Mo Mg
3 1
Direct
0.250 0.250 0.250
0.750 0.750 0.750
0.500 0.500 0.500
0.000 0.000 0.000
```

No. 13
MgMo | PBE-GGA | optimized geometry

Values from the calculation:
magnetic moment = 0.00 μB per formula unit
formation energy = 0.4 eV per formula unit
calculated volume = 17.97 Å³/atom
space-group type = No. 67
distance to the lowest polymorph of the same formula = 0.0 meV/atom
crystal system = orthorhombic

POSCAR file:
```
MgMo
1.0
2.843 0.000 0.000
-1.001 2.661 0.000
0.000 0.000 9.498
Mg Mo
2 2
Direct
0.000 0.000 0.517
0.500 0.500 0.233
0.000 0.000 0.983
0.500 0.500 0.767
```